## LiTa2W (GGA-PBE)

Data for a relaxed LiTa2W crystal.

ΔE_f, eV/atom: 0.420
SG: I-4m2
Mass density, g/cm3: 13.85
Calculated volume, A^3/atom: 16.6
E above lowest polymorph, meV/atom: 228

a b c (Å): 4.864 4.864 4.864
angles (deg): 129.81 129.81 73.70
Fractional positions:
Li: 0.000 0.000 0.000
Ta: 0.250 0.750 0.500
Ta: 0.500 0.500 0.000
W: 0.750 0.250 0.500